This record from Alexandria describes Rb2Na5CdHg2 after structural relaxation. The functional is PBE-GGA.

The structure in extended XYZ format:
```
20
Lattice="13.196 0.000 0.000 0.000 13.196 0.000 0.000 0.000 4.229" Properties=species:S:1:pos:R:3 pbc="T T T"
Rb 2.302 4.297 0.000
Rb 4.297 10.895 0.000
Rb 8.900 2.302 0.000
Rb 10.895 8.900 0.000
Na 0.000 6.598 2.115
Na 0.790 10.663 2.115
Na 2.534 0.790 2.115
Na 4.065 7.388 2.115
Na 5.808 4.065 2.115
Na 6.598 0.000 2.115
Na 7.388 9.132 2.115
Na 9.132 5.808 2.115
Na 10.663 12.407 2.115
Na 12.407 2.534 2.115
Cd 0.000 0.000 0.000
Cd 6.598 6.598 0.000
Hg 1.690 8.288 0.000
Hg 4.908 1.690 0.000
Hg 8.288 11.506 0.000
Hg 11.506 4.908 0.000
```

Properties
M_tot, μB/cell: 0.000
Energy of formation from the pure elements, eV/f.u.: -0.89
Final energy, eV/atom: -1.094
ρ, g/cm3: 3.61